Arrangement 1

This record from the Alexandria database describes crystalline Tb6Sm12Dy at its relaxed geometry. The functional is GGA-PBE.

## Properties
M_tot in μB per formula unit: 0.0
Crystal system: trigonal

Cell and atoms, written as CIF:
```
data_Tb6Sm12Dy
_chemical_formula_sum 'Tb18 Sm36 Dy3'
_cell_length_a 12.0811
_cell_length_b 12.0811
_cell_length_c 15.2201
_cell_angle_alpha 90.00
_cell_angle_beta 90.00
_cell_angle_gamma 120.00
_space_group_name_H-M_alt 'R -3'
_space_group_IT_number 148
_space_group_name_Hall '-R 3'
loop_
_atom_site_label
_atom_site_fract_x
_atom_site_fract_y
_atom_site_fract_z
Tb1 0.0136 0.4251 0.1851
Sm1 0.0060 0.8309 0.6910
Sm2 0.0455 0.8505 0.9164
Dy1 0.0000 0.0000 0.5000
```


Arrangement 2

This record from the Alexandria database describes crystalline Tb6Sm12Dy at its relaxed geometry. The functional is GGA-PBE.

## Properties
M_tot in μB per formula unit: 0.0
Crystal system: trigonal

Cell and atoms, written as CIF:
```
data_Tb6Sm12Dy
_chemical_formula_sum 'Tb18 Sm36 Dy3'
_cell_length_a 14.7737
_cell_length_b 14.7737
_cell_length_c 10.4253
_cell_angle_alpha 90.00
_cell_angle_beta 90.00
_cell_angle_gamma 120.00
_space_group_name_H-M_alt 'R -3'
_space_group_IT_number 148
_space_group_name_Hall '-R 3'
loop_
_atom_site_label
_atom_site_fract_x
_atom_site_fract_y
_atom_site_fract_z
Tb1 0.0502 0.2129 0.2593
Sm1 0.0544 0.2537 0.5796
Sm2 0.0648 0.2272 0.9186
Dy1 0.0000 0.0000 0.5000
```


Most stable of them? arrangement 1.


Arrangement 1

This record from the Alexandria database describes crystalline Tb2SmDy6 at its relaxed geometry. The functional is GGA-PBE.

## Properties
M_tot in μB per formula unit: 0.0
Crystal system: trigonal

Cell and atoms, written as CIF:
```
data_Tb2SmDy6
_chemical_formula_sum 'Tb6 Sm3 Dy18'
_cell_length_a 7.3627
_cell_length_b 7.3627
_cell_length_c 19.0379
_cell_angle_alpha 90.00
_cell_angle_beta 90.00
_cell_angle_gamma 120.00
_space_group_name_H-M_alt 'R 3 m'
_space_group_IT_number 160
_space_group_name_Hall 'R 3 -2"'
loop_
_atom_site_label
_atom_site_fract_x
_atom_site_fract_y
_atom_site_fract_z
Tb1 0.0000 0.0000 0.0000
Tb2 0.0000 0.0000 0.1751
Sm1 0.0000 0.0000 0.7361
Dy1 0.0145 0.5072 0.1882
Dy2 0.0453 0.5227 0.9903
```


Arrangement 2

This record from the Alexandria database describes crystalline Tb2SmDy6 at its relaxed geometry. The functional is GGA-PBE.

## Properties
M_tot in μB per formula unit: 0.0
Crystal system: monoclinic

Cell and atoms, written as CIF:
```
data_Tb2SmDy6
_chemical_formula_sum 'Tb4 Sm2 Dy12'
_cell_length_a 11.4960
_cell_length_b 3.4522
_cell_length_c 15.2276
_cell_angle_alpha 90.00
_cell_angle_beta 100.62
_cell_angle_gamma 90.00
_space_group_name_H-M_alt 'C 1 2/m 1'
_space_group_IT_number 12
_space_group_name_Hall '-C 2y'
loop_
_atom_site_label
_atom_site_fract_x
_atom_site_fract_y
_atom_site_fract_z
Tb1 0.1675 0.0000 0.1664
Sm1 0.0000 0.5000 0.5000
Dy1 0.0398 0.5000 0.7312
Dy2 0.1261 0.0000 0.9372
Dy3 0.2069 0.0000 0.3957
```


Most stable of them? arrangement 2.


Arrangement 1

This record from the Alexandria database describes crystalline TbSm7Dy2 at its relaxed geometry. The functional is GGA-PBE.

## Properties
M_tot in μB per formula unit: 0.0
Crystal system: orthorhombic

Cell and atoms, written as CIF:
```
data_TbSm7Dy2
_chemical_formula_sum 'Tb2 Sm14 Dy4'
_cell_length_a 8.7757
_cell_length_b 16.6225
_cell_length_c 5.5603
_cell_angle_alpha 90.00
_cell_angle_beta 90.00
_cell_angle_gamma 90.00
_space_group_name_H-M_alt 'C m m m'
_space_group_IT_number 65
_space_group_name_Hall '-C 2 2'
loop_
_atom_site_label
_atom_site_fract_x
_atom_site_fract_y
_atom_site_fract_z
Tb1 0.0000 0.0000 0.0000
Sm1 0.0000 0.2120 0.0000
Sm2 0.0000 0.5000 0.5000
Sm3 0.1782 0.1123 0.5000
Dy1 0.0000 0.2954 0.5000
```


Arrangement 2

This record from the Alexandria database describes crystalline TbSm7Dy2 at its relaxed geometry. The functional is GGA-PBE.

## Properties
M_tot in μB per formula unit: 0.0
Crystal system: triclinic

Cell and atoms, written as CIF:
```
data_TbSm7Dy2
_chemical_formula_sum 'Tb1 Sm7 Dy2'
_cell_length_a 6.2274
_cell_length_b 7.2076
_cell_length_c 8.0603
_cell_angle_alpha 77.06
_cell_angle_beta 75.05
_cell_angle_gamma 73.38
_space_group_name_H-M_alt 'P -1'
_space_group_IT_number 2
_space_group_name_Hall '-P 1'
loop_
_atom_site_label
_atom_site_fract_x
_atom_site_fract_y
_atom_site_fract_z
Tb1 0.0000 0.0000 0.0000
Sm1 0.0000 0.5000 0.0000
Sm2 0.2000 0.2997 0.5996
Sm3 0.4002 0.0995 0.2004
Sm4 0.4000 0.6003 0.2004
Dy1 0.1988 0.8010 0.6000
```


Most stable of them? arrangement 2.


Arrangement 1

This record from the Alexandria database describes crystalline Tb4Sm4Dy at its relaxed geometry. The functional is GGA-PBE.

## Properties
M_tot in μB per formula unit: 0.0
Crystal system: tetragonal

Cell and atoms, written as CIF:
```
data_Tb4Sm4Dy
_chemical_formula_sum 'Tb8 Sm8 Dy2'
_cell_length_a 10.7682
_cell_length_b 10.7682
_cell_length_c 5.0696
_cell_angle_alpha 90.00
_cell_angle_beta 90.00
_cell_angle_gamma 90.00
_space_group_name_H-M_alt 'I 4/m m m'
_space_group_IT_number 139
_space_group_name_Hall '-I 4 2'
loop_
_atom_site_label
_atom_site_fract_x
_atom_site_fract_y
_atom_site_fract_z
Tb1 0.1662 0.1662 0.0000
Sm1 0.0000 0.3321 0.5000
Dy1 0.0000 0.0000 0.5000
```


Arrangement 2

This record from the Alexandria database describes crystalline Tb4Sm4Dy at its relaxed geometry. The functional is GGA-PBE.

## Properties
M_tot in μB per formula unit: 0.0
Crystal system: triclinic

Cell and atoms, written as CIF:
```
data_Tb4Sm4Dy
_chemical_formula_sum 'Tb4 Sm4 Dy1'
_cell_length_a 5.5899
_cell_length_b 6.8519
_cell_length_c 8.8491
_cell_angle_alpha 111.32
_cell_angle_beta 108.33
_cell_angle_gamma 90.03
_space_group_name_H-M_alt 'P -1'
_space_group_IT_number 2
_space_group_name_Hall '-P 1'
loop_
_atom_site_label
_atom_site_fract_x
_atom_site_fract_y
_atom_site_fract_z
Tb1 0.0749 0.3817 0.1481
Tb2 0.3681 0.3089 0.7375
Sm1 0.1337 0.9633 0.2657
Sm2 0.2815 0.7108 0.5639
Dy1 0.5000 0.0000 0.0000
```


Most stable of them? arrangement 1.


Arrangement 1

This record from the Alexandria database describes crystalline Tb12Sm6Dy at its relaxed geometry. The functional is GGA-PBE.

## Properties
M_tot in μB per formula unit: 0.0
Crystal system: trigonal

Cell and atoms, written as CIF:
```
data_Tb12Sm6Dy
_chemical_formula_sum 'Tb36 Sm18 Dy3'
_cell_length_a 13.5265
_cell_length_b 13.5265
_cell_length_c 12.6564
_cell_angle_alpha 90.00
_cell_angle_beta 90.00
_cell_angle_gamma 120.00
_space_group_name_H-M_alt 'R -3 m'
_space_group_IT_number 166
_space_group_name_Hall '-R 3 2"'
loop_
_atom_site_label
_atom_site_fract_x
_atom_site_fract_y
_atom_site_fract_z
Tb1 0.0000 0.3825 0.0000
Tb2 0.0952 0.1903 0.8726
Sm1 0.0284 0.5142 0.2206
Dy1 0.0000 0.0000 0.5000
```


Arrangement 2

This record from the Alexandria database describes crystalline Tb12Sm6Dy at its relaxed geometry. The functional is GGA-PBE.

## Properties
M_tot in μB per formula unit: 0.0
Crystal system: trigonal

Cell and atoms, written as CIF:
```
data_Tb12Sm6Dy
_chemical_formula_sum 'Tb36 Sm18 Dy3'
_cell_length_a 13.2641
_cell_length_b 13.2641
_cell_length_c 12.6465
_cell_angle_alpha 90.00
_cell_angle_beta 90.00
_cell_angle_gamma 120.00
_space_group_name_H-M_alt 'R -3 m'
_space_group_IT_number 166
_space_group_name_Hall '-R 3 2"'
loop_
_atom_site_label
_atom_site_fract_x
_atom_site_fract_y
_atom_site_fract_z
Tb1 0.0000 0.2583 0.0000
Tb2 0.0909 0.1817 0.7649
Sm1 0.0410 0.5205 0.1168
Dy1 0.0000 0.0000 0.5000
```


Most stable of them? arrangement 2.


Arrangement 1

This record from the Alexandria database describes crystalline Tb7SmDy2 at its relaxed geometry. The functional is GGA-PBE.

## Properties
M_tot in μB per formula unit: 0.0
Crystal system: triclinic

Cell and atoms, written as CIF:
```
data_Tb7SmDy2
_chemical_formula_sum 'Tb7 Sm1 Dy2'
_cell_length_a 6.1598
_cell_length_b 7.1276
_cell_length_c 7.9614
_cell_angle_alpha 77.09
_cell_angle_beta 75.04
_cell_angle_gamma 73.28
_space_group_name_H-M_alt 'P -1'
_space_group_IT_number 2
_space_group_name_Hall '-P 1'
loop_
_atom_site_label
_atom_site_fract_x
_atom_site_fract_y
_atom_site_fract_z
Tb1 0.0000 0.0000 0.0000
Tb2 0.1998 0.8004 0.5996
Tb3 0.4000 0.5999 0.2008
Tb4 0.4006 0.0995 0.2007
Sm1 0.0000 0.5000 0.0000
Dy1 0.2002 0.2998 0.5995
```


Arrangement 2

This record from the Alexandria database describes crystalline Tb7SmDy2 at its relaxed geometry. The functional is GGA-PBE.

## Properties
M_tot in μB per formula unit: 0.0
Crystal system: orthorhombic

Cell and atoms, written as CIF:
```
data_Tb7SmDy2
_chemical_formula_sum 'Tb14 Sm2 Dy4'
_cell_length_a 8.7205
_cell_length_b 16.3096
_cell_length_c 5.5621
_cell_angle_alpha 90.00
_cell_angle_beta 90.00
_cell_angle_gamma 90.00
_space_group_name_H-M_alt 'C m m m'
_space_group_IT_number 65
_space_group_name_Hall '-C 2 2'
loop_
_atom_site_label
_atom_site_fract_x
_atom_site_fract_y
_atom_site_fract_z
Tb1 0.0000 0.0000 0.0000
Tb2 0.0000 0.2868 0.5000
Tb3 0.1771 0.3865 0.0000
Sm1 0.0000 0.5000 0.5000
Dy1 0.0000 0.2036 0.0000
```


Most stable of them? arrangement 1.